Record 1
Compound: Zr2ScTa
Source: Alexandria via LeMat-Bulk
Functional: PBE
Structure: optimized geometry

Output
- energy of formation from the pure elements (eV per atom) = 0.5950
- ρ (g/cm3) = 7.6
- space group = I-42d, No. 122
- DOS at the Fermi energy (states/eV per cell) = 8.5
- total moment (μB/f.u.) = 0.000

CIF file:
```
data_Zr2ScTa
_symmetry_space_group_name_H-M 'P 1'
_symmetry_Int_Tables_number 1
_cell_length_a 6.232
_cell_length_b 6.232
_cell_length_c 6.232
_cell_angle_alpha 103.49
_cell_angle_beta 103.49
_cell_angle_gamma 122.23
loop_
_symmetry_equiv_pos_as_xyz
'x,y,z'
loop_
_atom_site_label
_atom_site_type_symbol
_atom_site_fract_x
_atom_site_fract_y
_atom_site_fract_z
Zr1 Zr 0.116 0.125 0.491
Zr2 Zr 0.375 0.884 0.009
Zr3 Zr 0.634 0.625 0.509
Zr4 Zr 0.875 0.366 0.991
Sc1 Sc 0.250 0.750 0.500
Sc2 Sc 0.500 0.500 0.000
Ta1 Ta 0.000 0.000 0.000
Ta2 Ta 0.750 0.250 0.500
```

=====

Record 2
Compound: CoReSi2
Source: Alexandria via LeMat-Bulk
Functional: PBE
Structure: optimized geometry

Output
- uncorrected formation energy (eV per atom) = -0.29
- ρ (g/cm3) = 10.2
- space group = P4/mmm, No. 123
- DOS at the Fermi energy (states/eV per cell) = 1.6
- total moment (μB/f.u.) = 0.000

CIF file:
```
data_CoReSi2
_symmetry_space_group_name_H-M 'P 1'
_symmetry_Int_Tables_number 1
_cell_length_a 4.049
_cell_length_b 4.049
_cell_length_c 2.983
_cell_angle_alpha 90.00
_cell_angle_beta 90.00
_cell_angle_gamma 90.00
loop_
_symmetry_equiv_pos_as_xyz
'x,y,z'
loop_
_atom_site_label
_atom_site_type_symbol
_atom_site_fract_x
_atom_site_fract_y
_atom_site_fract_z
Co1 Co 0.000 0.000 0.000
Re1 Re 0.500 0.500 0.000
Si1 Si 0.000 0.500 0.500
Si2 Si 0.500 0.000 0.500
```

=====

Among the records above, which one has the lowest DOS at the Fermi energy? CoReSi2